This record from the Alexandria database describes a relaxed ReTc2Ni crystal. The functional is PBE.

Output
ΔE_f: 0.0276 eV/atom
mass density: 13.2 g cm⁻³
E_tot: -38.85 eV per formula unit
energy relative to the lowest polymorph listed for this composition: 0.08 eV per formula unit
space group: Fmmm

Cell lengths 4.6278, 4.6278, 4.6317 Å; angles 131.00, 131.01, 71.72 degrees
Fractional positions:
Ni  0.7500  0.2500  0.5000
Re  0.2500  0.7500  0.5000
Tc  0.0000  0.0000  0.0000
Tc  0.5000  0.5000  0.0000

=====

This record from the Alexandria database describes a relaxed ReTc2Ni crystal. The functional is PBE.

Output
ΔE_f: 0.2541 eV/atom
mass density: 13.1 g cm⁻³
E_tot: -37.94 eV per formula unit
energy relative to the lowest polymorph listed for this composition: 0.99 eV per formula unit
space group: F-43m

Cell lengths 4.2939, 4.2939, 4.2939 Å; angles 60.00, 60.00, 60.00 degrees
Fractional positions:
Ni  0.5000  0.5000  0.5000
Re  0.7500  0.7500  0.7500
Tc  0.0000  0.0000  0.0000
Tc  0.2500  0.2500  0.2500

=====

This record from the Alexandria database describes a relaxed ReTc2Ni crystal. The functional is PBE.

Output
ΔE_f: 0.0913 eV/atom
mass density: 13.2 g cm⁻³
E_tot: -38.60 eV per formula unit
energy relative to the lowest polymorph listed for this composition: 0.34 eV per formula unit
space group: C2/m

Cell lengths 4.6214, 4.6214, 4.6731 Å; angles 80.88, 80.88, 34.38 degrees
Fractional positions:
Ni  0.7500  0.7500  0.7500
Re  0.2500  0.2500  0.2500
Tc  0.0016  0.0016  0.9905
Tc  0.4984  0.4984  0.5095

=====

This record from the Alexandria database describes a relaxed ReTcNi2 crystal. The functional is PBE.

Output
ΔE_f: 0.1031 eV/atom
mass density: 12.8 g cm⁻³
E_tot: -33.96 eV per formula unit
energy relative to the lowest polymorph listed for this composition: 0.54 eV per formula unit
space group: C2/m

Cell lengths 4.5568, 4.5568, 4.5772 Å; angles 80.34, 80.34, 33.86 degrees
Fractional positions:
Ni  0.9995  0.9995  0.0022
Ni  0.5005  0.5005  0.4978
Re  0.2500  0.2500  0.2500
Tc  0.7500  0.7500  0.7500

=====

This record from the Alexandria database describes a relaxed ReTcNi2 crystal. The functional is PBE.

Output
ΔE_f: 0.0514 eV/atom
mass density: 13.0 g cm⁻³
E_tot: -34.17 eV per formula unit
energy relative to the lowest polymorph listed for this composition: 0.34 eV per formula unit
space group: Cmmm

Cell lengths 5.7887, 4.6171, 2.5895 Å; angles 89.93, 63.55, 120.13 degrees
Fractional positions:
Ni  0.0000  0.0000  0.0000
Ni  0.5000  0.0000  0.5000
Re  0.0000  0.5000  0.5000
Tc  0.5000  0.5000  0.0000

=====

This record from the Alexandria database describes a relaxed ReTcNi2 crystal. The functional is PBE.

Output
ΔE_f: 0.2071 eV/atom
mass density: 12.9 g cm⁻³
E_tot: -33.55 eV per formula unit
energy relative to the lowest polymorph listed for this composition: 0.96 eV per formula unit
space group: P4/mmm

Cell lengths 3.1439, 3.1439, 5.2138 Å; angles 90.00, 90.00, 90.00 degrees
Fractional positions:
Ni  0.0000  0.0000  0.0011
Ni  0.0000  0.0000  0.4989
Re  0.5000  0.5000  0.2500
Tc  0.5000  0.5000  0.7500

=====

This record from the Alexandria database describes a relaxed ReTcNi crystal. The functional is PBE.

Output
ΔE_f: 0.1287 eV/atom
mass density: 14.0 g cm⁻³
E_tot: -28.21 eV per formula unit
energy relative to the lowest polymorph listed for this composition: 0.32 eV per formula unit
space group: I4mm

Cell lengths 5.8494, 5.8491, 2.7167 Å; angles 76.58, 76.57, 26.86 degrees
Fractional positions:
Ni  0.9987  0.9987  0.0013
Re  0.3377  0.3377  0.6623
Tc  0.6635  0.6635  0.3365

=====

This record from the Alexandria database describes a relaxed ReTc2Ni crystal. The functional is PBE.

Output
ΔE_f: 0.0806 eV/atom
mass density: 13.2 g cm⁻³
E_tot: -38.64 eV per formula unit
energy relative to the lowest polymorph listed for this composition: 0.29 eV per formula unit
space group: P4/mmm

Cell lengths 2.6955, 2.6955, 7.6429 Å; angles 90.00, 90.00, 90.02 degrees
Fractional positions:
Ni  0.5000  0.5000  0.2500
Re  0.5000  0.5000  0.7500
Tc  0.0000  0.0000  0.0091
Tc  0.0000  0.0000  0.4909

=====

This record from the Alexandria database describes a relaxed ReTcNi crystal. The functional is PBE.

Output
ΔE_f: 0.1051 eV/atom
mass density: 13.8 g cm⁻³
E_tot: -28.28 eV per formula unit
energy relative to the lowest polymorph listed for this composition: 0.24 eV per formula unit
space group: P3m1

Cell lengths 4.3023, 4.3023, 2.5802 Å; angles 90.00, 90.00, 120.00 degrees
Fractional positions:
Ni  0.0000  0.0000  0.0361
Re  0.3333  0.6667  0.3403
Tc  0.6667  0.3333  0.6236

=====

This record from the Alexandria database describes a relaxed Re2TcNi crystal. The functional is PBE.

Output
ΔE_f: 0.1309 eV/atom
mass density: 15.7 g cm⁻³
E_tot: -40.52 eV per formula unit
energy relative to the lowest polymorph listed for this composition: 0.47 eV per formula unit
space group: P4mm

Cell lengths 3.1583, 3.1583, 5.6036 Å; angles 90.00, 90.00, 90.00 degrees
Fractional positions:
Ni  0.5000  0.5000  0.7529
Re  0.0000  0.0000  0.9761
Re  0.5000  0.5000  0.2487
Tc  0.0000  0.0000  0.5223

=====

This record from the Alexandria database describes a relaxed ReTcNi2 crystal. The functional is PBE.

Output
ΔE_f: 0.0306 eV/atom
mass density: 12.9 g cm⁻³
E_tot: -34.25 eV per formula unit
energy relative to the lowest polymorph listed for this composition: 0.25 eV per formula unit
space group: Cm

Cell lengths 4.5704, 4.5704, 4.6060 Å; angles 81.70, 81.70, 32.87 degrees
Fractional positions:
Ni  0.0001  0.0001  0.0081
Ni  0.2496  0.2496  0.2435
Re  0.5055  0.5055  0.4908
Tc  0.7448  0.7448  0.7576

=====

This record from the Alexandria database describes a relaxed Re2TcNi2 crystal. The functional is PBE.

Output
ΔE_f: 0.2120 eV/atom
mass density: 14.6 g cm⁻³
E_tot: -45.76 eV per formula unit
space group: P4/mbm

Cell lengths 6.8930, 6.8930, 2.8060 Å; angles 90.00, 90.00, 90.00 degrees
Fractional positions:
Re  0.1762  0.6762  0.5000
Re  0.6762  0.8238  0.5000
Re  0.8238  0.3238  0.5000
Re  0.3238  0.1762  0.5000
Tc  0.0000  0.0000  0.0000
Tc  0.5000  0.5000  0.0000
Ni  0.3793  0.8793  0.0000
Ni  0.8793  0.6207  0.0000
Ni  0.6207  0.1207  0.0000
Ni  0.1207  0.3793  0.0000